The following is a DFT calculation (PBE) of a relaxed K2CdFe crystal.

Lattice parameters (Å, degrees): 5.0560 5.1899 5.2012 90.00 90.00 90.00
Space group Pmmm (No. 47)
Inequivalent atoms, fractional coordinates:
1 K 0.0000 0.0000 0.0000 [1 per cell]
2 K 0.0000 0.5000 0.5000 [1 per cell]
3 Cd 0.5000 0.0000 0.5000 [1 per cell]
4 Fe 0.5000 0.5000 0.0000 [1 per cell]

Summary:
The formation energy comes out at 746 meV/atom.